Entry i
# La3Y5Ho4 | the Alexandria database | PBE-GGA | relaxed
# **Size of the total moment**: 0.0 μB/f.u.
data_La3Y5Ho4
_chemical_formula_sum 'La3 Y5 Ho4'
_cell_length_a 6.2390
_cell_length_b 7.1910
_cell_length_c 8.8320
_cell_angle_alpha 89.92
_cell_angle_beta 89.75
_cell_angle_gamma 89.81
_space_group_name_H-M_alt 'P -1'
_space_group_IT_number 2
_space_group_name_Hall '-P 1'
loop_
_atom_site_label
_atom_site_fract_x
_atom_site_fract_y
_atom_site_fract_z
_atom_site_occupancy
La1 0.0000 0.0000 0.0000 1
La2 0.1641 0.2536 0.3338 1
Y1 0.0000 0.5000 0.0000 1
Y2 0.3351 0.9995 0.6666 1
Y3 0.4979 0.7479 0.0000 1
Ho1 0.1699 0.7483 0.3327 1
Ho2 0.3346 0.4985 0.6662 1

---

Entry ii
# La3Y5Ho4 | the Alexandria database | PBE-GGA | relaxed
# **Size of the total moment**: 0.3 μB/f.u.
data_La3Y5Ho4
_chemical_formula_sum 'La6 Y10 Ho8'
_cell_length_a 16.2115
_cell_length_b 5.9714
_cell_length_c 9.3277
_cell_angle_alpha 90.00
_cell_angle_beta 116.66
_cell_angle_gamma 90.00
_space_group_name_H-M_alt 'C 1 2/m 1'
_space_group_IT_number 12
_space_group_name_Hall '-C 2y'
loop_
_atom_site_label
_atom_site_fract_x
_atom_site_fract_y
_atom_site_fract_z
_atom_site_occupancy
La1 0.0000 0.0000 0.0000 1
La2 0.2066 0.5000 0.2241 1
Y1 0.0000 0.5000 0.0000 1
Y2 0.0745 0.0000 0.6994 1
Y3 0.1719 0.0000 0.3929 1
Ho1 0.0800 0.5000 0.4386 1
Ho2 0.2070 0.5000 0.8709 1

---

Question: which arrangement is favored energetically? Ranking from most to least stable: entry i, entry ii.

---

Entry i
# LaY6Ho4 | the Alexandria database | PBE-GGA | relaxed
# **Size of the total moment**: 0.0 μB/f.u.
data_LaY6Ho4
_chemical_formula_sum 'La4 Y24 Ho16'
_cell_length_a 5.7125
_cell_length_b 9.7425
_cell_length_c 25.8043
_cell_angle_alpha 90.00
_cell_angle_beta 90.00
_cell_angle_gamma 90.00
_space_group_name_H-M_alt 'C m c m'
_space_group_IT_number 63
_space_group_name_Hall '-C 2c 2'
loop_
_atom_site_label
_atom_site_fract_x
_atom_site_fract_y
_atom_site_fract_z
_atom_site_occupancy
La1 0.0000 0.1767 0.2500 1
Y1 0.0000 0.1543 0.6797 1
Y2 0.0000 0.1784 0.1002 1
Y3 0.0000 0.4891 0.7500 1
Y4 0.0000 0.5000 0.0000 1
Ho1 0.0000 0.1623 0.5413 1
Ho2 0.0000 0.4850 0.6212 1

---

Entry ii
# LaY6Ho4 | the Alexandria database | PBE-GGA | relaxed
# **Size of the total moment**: 0.0 μB/f.u.
data_LaY6Ho4
_chemical_formula_sum 'La2 Y12 Ho8'
_cell_length_a 7.7316
_cell_length_b 7.7316
_cell_length_c 12.9728
_cell_angle_alpha 90.00
_cell_angle_beta 90.00
_cell_angle_gamma 90.00
_space_group_name_H-M_alt 'I -4 2 m'
_space_group_IT_number 121
_space_group_name_Hall 'I -4 2'
loop_
_atom_site_label
_atom_site_fract_x
_atom_site_fract_y
_atom_site_fract_z
_atom_site_occupancy
La1 0.0000 0.0000 0.0000 1
Y1 0.0000 0.5000 0.0000 1
Y2 0.2476 0.2476 0.6891 1
Ho1 0.1623 0.1623 0.4253 1

---

Question: which arrangement is favored energetically? Ranking from most to least stable: entry i, entry ii.

---

Entry i
# LaY6Ho3 | the Alexandria database | PBE-GGA | relaxed
# **Size of the total moment**: 0.0 μB/f.u.
data_LaY6Ho3
_chemical_formula_sum 'La3 Y18 Ho9'
_cell_length_a 9.8766
_cell_length_b 9.8766
_cell_length_c 11.7350
_cell_angle_alpha 90.00
_cell_angle_beta 90.00
_cell_angle_gamma 120.00
_space_group_name_H-M_alt 'R 3'
_space_group_IT_number 146
_space_group_name_Hall 'R 3'
loop_
_atom_site_label
_atom_site_fract_x
_atom_site_fract_y
_atom_site_fract_z
_atom_site_occupancy
La1 0.0000 0.0000 0.0000 1
Y1 0.9999 0.3311 0.6642 1
Y2 0.0056 0.6687 0.1638 1
Ho1 0.0000 0.0000 0.2587 1
Ho2 0.0000 0.0000 0.5030 1
Ho3 0.0000 0.0000 0.7519 1

---

Entry ii
# LaY6Ho3 | the Alexandria database | PBE-GGA | relaxed
# **Size of the total moment**: 0.0 μB/f.u.
data_LaY6Ho3
_chemical_formula_sum 'La4 Y24 Ho12'
_cell_length_a 10.7493
_cell_length_b 19.3417
_cell_length_c 6.2956
_cell_angle_alpha 90.00
_cell_angle_beta 90.00
_cell_angle_gamma 90.00
_space_group_name_H-M_alt 'C m c 21'
_space_group_IT_number 36
_space_group_name_Hall 'C 2c -2'
loop_
_atom_site_label
_atom_site_fract_x
_atom_site_fract_y
_atom_site_fract_z
_atom_site_occupancy
La1 0.0000 0.2112 0.0000 1
Y1 0.0000 0.0489 0.3013 1
Y2 0.0000 0.3123 0.5675 1
Y3 0.1706 0.4566 0.7060 1
Y4 0.2254 0.2108 0.3498 1
Ho1 0.0000 0.3858 0.1028 1
Ho2 0.1851 0.1081 0.7593 1

---

Question: which arrangement is favored energetically? Ranking from most to least stable: entry ii, entry i.

---

Entry i
# LaYHo | the Alexandria database | PBE-GGA | relaxed
# **Size of the total moment**: 0.0 μB/f.u.
data_LaYHo
_chemical_formula_sum 'La1 Y1 Ho1'
_cell_length_a 5.7128
_cell_length_b 5.7128
_cell_length_c 3.5267
_cell_angle_alpha 90.00
_cell_angle_beta 90.00
_cell_angle_gamma 120.00
_space_group_name_H-M_alt 'P -6 m 2'
_space_group_IT_number 187
_space_group_name_Hall 'P -6 2'
loop_
_atom_site_label
_atom_site_fract_x
_atom_site_fract_y
_atom_site_fract_z
_atom_site_occupancy
La1 0.0000 0.0000 0.0000 1
Y1 0.6667 0.3333 0.5000 1
Ho1 0.3333 0.6667 0.0000 1

---

Entry ii
# LaYHo | the Alexandria database | PBE-GGA | relaxed
# **Size of the total moment**: 0.0 μB/f.u.
data_LaYHo
_chemical_formula_sum 'La6 Y6 Ho6'
_cell_length_a 5.6022
_cell_length_b 5.6022
_cell_length_c 24.4977
_cell_angle_alpha 90.00
_cell_angle_beta 90.00
_cell_angle_gamma 120.00
_space_group_name_H-M_alt 'R -3 m'
_space_group_IT_number 166
_space_group_name_Hall '-R 3 2"'
loop_
_atom_site_label
_atom_site_fract_x
_atom_site_fract_y
_atom_site_fract_z
_atom_site_occupancy
La1 0.0000 0.0000 0.2094 1
Y1 0.0000 0.0000 0.0628 1
Ho1 0.0000 0.0000 0.3571 1

---

Question: which arrangement is favored energetically? Ranking from most to least stable: entry i, entry ii.

---

Entry i
# LaYHo | the Alexandria database | PBE-GGA | relaxed
# **Size of the total moment**: 0.0 μB/f.u.
data_LaYHo
_chemical_formula_sum 'La4 Y4 Ho4'
_cell_length_a 6.2638
_cell_length_b 3.6161
_cell_length_c 17.8193
_cell_angle_alpha 90.00
_cell_angle_beta 96.72
_cell_angle_gamma 90.00
_space_group_name_H-M_alt 'C 1 2/m 1'
_space_group_IT_number 12
_space_group_name_Hall '-C 2y'
loop_
_atom_site_label
_atom_site_fract_x
_atom_site_fract_y
_atom_site_fract_z
_atom_site_occupancy
La1 0.1985 0.0000 0.0924 1
Y1 0.1943 0.5000 0.5824 1
Ho1 0.0804 0.0000 0.7422 1

---

Entry ii
# LaYHo | the Alexandria database | PBE-GGA | relaxed
# **Size of the total moment**: 0.0 μB/f.u.
data_LaYHo
_chemical_formula_sum 'La2 Y2 Ho2'
_cell_length_a 5.0871
_cell_length_b 5.1518
_cell_length_c 8.0890
_cell_angle_alpha 90.00
_cell_angle_beta 108.27
_cell_angle_gamma 90.00
_space_group_name_H-M_alt 'P 1 21/m 1'
_space_group_IT_number 11
_space_group_name_Hall '-P 2yb'
loop_
_atom_site_label
_atom_site_fract_x
_atom_site_fract_y
_atom_site_fract_z
_atom_site_occupancy
La1 0.0840 0.2500 0.1679 1
Y1 0.4138 0.2500 0.8277 1
Ho1 0.2488 0.7500 0.4971 1

---

Question: which arrangement is favored energetically? Ranking from most to least stable: entry i, entry ii.

---

Entry i
# LaY3Ho4 | the Alexandria database | PBE-GGA | relaxed
# **Size of the total moment**: 0.0 μB/f.u.
data_LaY3Ho4
_chemical_formula_sum 'La2 Y6 Ho8'
_cell_length_a 23.6590
_cell_length_b 3.4674
_cell_length_c 6.7146
_cell_angle_alpha 90.00
_cell_angle_beta 106.48
_cell_angle_gamma 90.00
_space_group_name_H-M_alt 'C 1 2/m 1'
_space_group_IT_number 12
_space_group_name_Hall '-C 2y'
loop_
_atom_site_label
_atom_site_fract_x
_atom_site_fract_y
_atom_site_fract_z
_atom_site_occupancy
La1 0.0000 0.0000 0.0000 1
Y1 0.0000 0.5000 0.5000 1
Y2 0.1283 0.5000 0.8833 1
Ho1 0.1265 0.5000 0.3718 1
Ho2 0.2401 0.0000 0.2471 1

---

Entry ii
# LaY3Ho4 | the Alexandria database | PBE-GGA | relaxed
# **Size of the total moment**: 0.0 μB/f.u.
data_LaY3Ho4
_chemical_formula_sum 'La2 Y6 Ho8'
_cell_length_a 11.3506
_cell_length_b 7.3088
_cell_length_c 6.2952
_cell_angle_alpha 90.00
_cell_angle_beta 90.00
_cell_angle_gamma 90.00
_space_group_name_H-M_alt 'P m n 21'
_space_group_IT_number 31
_space_group_name_Hall 'P 2ac -2'
loop_
_atom_site_label
_atom_site_fract_x
_atom_site_fract_y
_atom_site_fract_z
_atom_site_occupancy
La1 0.0000 0.1278 0.0000 1
Y1 0.0000 0.8709 0.5040 1
Y2 0.2490 0.1278 0.3401 1
Ho1 0.0000 0.3793 0.5079 1
Ho2 0.0000 0.6223 0.0070 1
Ho3 0.2476 0.6225 0.3394 1

---

Question: which arrangement is favored energetically? Ranking from most to least stable: entry ii, entry i.

---

Entry i
# La5YHo3 | the Alexandria database | PBE-GGA | relaxed
# **Size of the total moment**: 0.0 μB/f.u.
data_La5YHo3
_chemical_formula_sum 'La20 Y4 Ho12'
_cell_length_a 20.4694
_cell_length_b 6.4066
_cell_length_c 11.7713
_cell_angle_alpha 90.00
_cell_angle_beta 122.96
_cell_angle_gamma 90.00
_space_group_name_H-M_alt 'C 1 2/c 1'
_space_group_IT_number 15
_space_group_name_Hall '-C 2yc'
loop_
_atom_site_label
_atom_site_fract_x
_atom_site_fract_y
_atom_site_fract_z
_atom_site_occupancy
La1 0.0000 0.0902 0.2500 1
La2 0.1420 0.1810 0.6668 1
La3 0.1803 0.3217 0.3339 1
Y1 0.0000 0.3962 0.7500 1
Ho1 0.0000 0.5000 0.0000 1
Ho2 0.1736 0.2669 0.0204 1

---

Entry ii
# La5YHo3 | the Alexandria database | PBE-GGA | relaxed
# **Size of the total moment**: 0.0 μB/f.u.
data_La5YHo3
_chemical_formula_sum 'La20 Y4 Ho12'
_cell_length_a 9.4329
_cell_length_b 9.4329
_cell_length_c 14.4170
_cell_angle_alpha 90.00
_cell_angle_beta 90.00
_cell_angle_gamma 90.00
_space_group_name_H-M_alt 'I 4/m c m'
_space_group_IT_number 140
_space_group_name_Hall '-I 4 2c'
loop_
_atom_site_label
_atom_site_fract_x
_atom_site_fract_y
_atom_site_fract_z
_atom_site_occupancy
La1 0.0000 0.0000 0.0000 1
La2 0.2006 0.2994 0.1332 1
Y1 0.0000 0.5000 0.2500 1
Ho1 0.0000 0.0000 0.2500 1
Ho2 0.1089 0.3911 0.5000 1

---

Question: which arrangement is favored energetically? Ranking from most to least stable: entry i, entry ii.

---

Entry i
# La3Y2Ho | the Alexandria database | PBE-GGA | relaxed
# **Size of the total moment**: 0.0 μB/f.u.
data_La3Y2Ho
_chemical_formula_sum 'La12 Y8 Ho4'
_cell_length_a 6.3492
_cell_length_b 10.9956
_cell_length_c 11.9089
_cell_angle_alpha 90.00
_cell_angle_beta 100.23
_cell_angle_gamma 90.00
_space_group_name_H-M_alt 'C 1 2/m 1'
_space_group_IT_number 12
_space_group_name_Hall '-C 2y'
loop_
_atom_site_label
_atom_site_fract_x
_atom_site_fract_y
_atom_site_fract_z
_atom_site_occupancy
La1 0.2484 0.0000 0.2491 1
La2 0.2498 0.1673 0.7512 1
Y1 0.0000 0.0000 0.5000 1
Y2 0.0000 0.3332 0.5000 1
Y3 0.0000 0.5000 0.0000 1
Ho1 0.0000 0.1666 0.0000 1

---

Entry ii
# La3Y2Ho | the Alexandria database | PBE-GGA | relaxed
# **Size of the total moment**: 0.0 μB/f.u.
data_La3Y2Ho
_chemical_formula_sum 'La6 Y4 Ho2'
_cell_length_a 7.2601
_cell_length_b 5.1869
_cell_length_c 10.9772
_cell_angle_alpha 90.00
_cell_angle_beta 90.61
_cell_angle_gamma 90.00
_space_group_name_H-M_alt 'P 1 2/m 1'
_space_group_IT_number 10
_space_group_name_Hall '-P 2y'
loop_
_atom_site_label
_atom_site_fract_x
_atom_site_fract_y
_atom_site_fract_z
_atom_site_occupancy
La1 0.0012 0.0000 0.3288 1
La2 0.2470 0.5000 0.5002 1
La3 0.2515 0.5000 0.1619 1
Y1 0.2526 0.5000 0.8352 1
Y2 0.4993 0.0000 0.3302 1
Ho1 0.0000 0.0000 0.0000 1
Ho2 0.5000 0.0000 0.0000 1

---

Question: which arrangement is favored energetically? Ranking from most to least stable: entry i, entry ii.